Material: CaBN3
Method: DFT, PBE
State: optimized geometry

```
data_CaBN3
_chemical_formula_sum 'Ca1 B1 N3'
_cell_length_a 4.5554
_cell_length_b 4.5554
_cell_length_c 4.5554
_cell_angle_alpha 90.00
_cell_angle_beta 90.00
_cell_angle_gamma 90.00
_symmetry_space_group_name_H-M 'P m -3 m'
_symmetry_Int_Tables_number 221
_symmetry_space_group_name_Hall '-P 4 2 3'
loop_
_atom_site_label
_atom_site_type_symbol
_atom_site_fract_x
_atom_site_fract_y
_atom_site_fract_z
Ca1 Ca 0.0000 0.0000 0.0000
B1 B 0.5000 0.5000 0.5000
N1 N 0.0000 0.0000 0.5000
```

Values from the calculation:
ρ   1.63 g/cm³
Crystal system   cubic
Raw total energy   -3.7934 eV per atom

Material: Tm2ScSb3
Method: DFT, PBE
State: optimized geometry

```
data_Tm2ScSb3
_chemical_formula_sum 'Tm4 Sc2 Sb6'
_cell_length_a 4.2791
_cell_length_b 6.0652
_cell_length_c 12.8416
_cell_angle_alpha 90.00
_cell_angle_beta 90.00
_cell_angle_gamma 90.00
_symmetry_space_group_name_H-M 'I m m m'
_symmetry_Int_Tables_number 71
_symmetry_space_group_name_Hall '-I 2 2'
loop_
_atom_site_label
_atom_site_type_symbol
_atom_site_fract_x
_atom_site_fract_y
_atom_site_fract_z
Tm1 Tm 0.0000 0.0000 0.1686
Sc1 Sc 0.0000 0.0000 0.5000
Sb1 Sb 0.0000 0.5000 0.1603
Sb2 Sb 0.0000 0.5000 0.5000
```

Values from the calculation:
ρ   7.45 g/cm³
Crystal system   orthorhombic
Raw total energy   -5.6230 eV per atom